Record 1
An optimized crystal structure of Ba3SrZn2. Source: Alexandria, functional PBE.

Structure (POSCAR):
```
Ba3SrZn2
1.0
4.158 0.000 0.000
0.000 4.158 0.000
0.000 0.000 14.739
Zn Ba Sr
2 3 1
Cartesian
2.079 2.079 2.119 Zn
2.079 2.079 12.620 Zn
0.000 0.000 10.720 Ba
0.000 0.000 4.019 Ba
0.000 0.000 0.000 Ba
2.079 2.079 7.370 Sr
```

Output
- SG: P4/mmm (123)
- Electronic total energy: -1.781 eV per atom
- DOS at the Fermi energy: 1.136 states/eV/atom
- Energy relative to the elements: -0.1143 eV/atom


Record 2
An optimized crystal structure of Ba2NaSrAg. Source: Alexandria, functional PBE.

Structure (POSCAR):
```
Ba2NaSrAg
1.0
-0.959 -6.387 1.127
6.457 -0.832 0.778
-0.559 1.111 5.825
Na Ba Sr Ag
1 2 1 1
Cartesian
-0.279 0.556 2.913 Na
-0.480 -3.194 0.563 Ba
3.228 -0.416 0.389 Ba
2.469 -3.054 3.865 Sr
0.000 0.000 0.000 Ag
```

Output
- SG: P4/mmm (123)
- Electronic total energy: -1.941 eV per atom
- Energy above the most stable polymorph in this dataset: 0.060 eV/atom
- DOS at the Fermi energy: 1.014 states/eV/atom
- Energy relative to the elements: -0.0015 eV/atom


Record 3
An optimized crystal structure of NbHg3F. Source: Alexandria, functional PBE.

Structure (POSCAR):
```
NbHg3F
1.0
4.801 0.000 0.000
0.000 4.801 0.000
0.000 0.000 4.801
F Hg Nb
1 3 1
Cartesian
0.000 0.000 0.000 F
2.401 0.000 0.000 Hg
0.000 0.000 2.401 Hg
0.000 2.401 0.000 Hg
2.401 2.401 2.401 Nb
```

Output
- SG: Pm-3m (221)
- Electronic total energy: -2.191 eV per atom
- Energy above the most stable polymorph in this dataset: 0.000 eV/atom
- DOS at the Fermi energy: 0.478 states/eV/atom
- Formation energy without anion corrections: 0.379 eV/atom


Record 4
An optimized crystal structure of KAgHg2Cl6. Source: Alexandria, functional PBE.

Structure (POSCAR):
```
KAgHg2Cl6
1.0
7.839 -0.030 -0.031
2.469 9.248 0.241
2.469 -0.102 9.251
Ag Hg Cl K
2 4 12 2
Cartesian
4.429 1.909 7.297 Ag
8.348 7.207 2.163 Ag
9.790 5.631 7.205 Hg
2.987 3.485 2.255 Hg
5.870 7.007 5.910 Hg
6.907 2.109 3.550 Hg
10.453 3.368 8.141 Cl
3.248 1.706 0.481 Cl
5.610 8.714 7.753 Cl
9.424 2.701 4.177 Cl
2.324 5.748 1.319 Cl
6.533 8.026 3.683 Cl
5.504 4.090 2.869 Cl
7.167 0.402 1.707 Cl
7.273 5.026 6.591 Cl
3.353 6.415 5.283 Cl
6.244 1.090 5.777 Cl
9.529 7.410 8.980 Cl
8.348 1.048 8.098 K
4.429 8.068 1.363 K
```

Output
- SG: C2/c (15)
- Electronic total energy: -2.392 eV per atom
- DOS at the Fermi energy: 0.000 states/eV/atom
- Formation energy without anion corrections: -0.829 eV/atom


Q: What is the electronic total energy in the third record?
A: -2.191 eV per atom


Q: Which of these has the lowest DOS at the Fermi energy?
A: KAgHg2Cl6


Q: Which value of DOS at the Fermi energy does entry 2 give?
A: 1.014 states/eV/atom


Q: Among the records above, which one has the highest DOS at the Fermi energy?
A: Ba3SrZn2